(1)
## Ti3FeP6O24 (PBE with a Hubbard U)

Data for an optimized crystal structure of Ti3FeP6O24.

a b c (Å): 8.943 8.943 8.943
angles (deg): 57.89 57.89 57.89
Fractional positions:
Ti (0.000, 0.000, 0.000)
Ti (0.218, 0.218, 0.218)
Ti (0.501, 0.501, 0.501)
Fe (0.716, 0.716, 0.716)
P (0.109, 0.826, 0.391)
P (0.328, 0.610, 0.891)
P (0.391, 0.109, 0.826)
P (0.610, 0.891, 0.328)
P (0.826, 0.391, 0.109)
P (0.891, 0.328, 0.610)
O (0.071, 0.280, 0.443)
O (0.090, 0.854, 0.215)
O (0.145, 0.995, 0.355)
O (0.157, 0.792, 0.910)
O (0.215, 0.090, 0.854)
O (0.280, 0.443, 0.071)
O (0.281, 0.647, 0.425)
O (0.355, 0.145, 0.995)
O (0.357, 0.582, 0.720)
O (0.425, 0.281, 0.647)
O (0.443, 0.071, 0.280)
O (0.503, 0.617, 0.873)
O (0.562, 0.931, 0.810)
O (0.582, 0.720, 0.357)
O (0.617, 0.873, 0.503)
O (0.647, 0.425, 0.281)
O (0.720, 0.357, 0.582)
O (0.792, 0.910, 0.157)
O (0.810, 0.562, 0.931)
O (0.854, 0.215, 0.090)
O (0.873, 0.503, 0.617)
O (0.910, 0.157, 0.792)
O (0.931, 0.810, 0.562)
O (0.995, 0.355, 0.145)

crystal system	trigonal
M_tot	2.0	Bohr magnetons per cell
VASP energy	-7.55	eV per atom

---

(2)
## TiFeP2O8 (PBE with a Hubbard U)

Data for an optimized crystal structure of TiFeP2O8.

a b c (Å): 4.984 6.014 9.984
angles (deg): 90.00 90.48 90.00
Fractional positions:
Ti (0.038, 0.250, 0.224)
Ti (0.962, 0.750, 0.776)
Fe (0.466, 0.250, 0.728)
Fe (0.534, 0.750, 0.272)
P (0.061, 0.750, 0.097)
P (0.381, 0.750, 0.602)
P (0.619, 0.250, 0.398)
P (0.939, 0.250, 0.903)
O (0.141, 0.750, 0.946)
O (0.199, 0.545, 0.168)
O (0.199, 0.955, 0.168)
O (0.226, 0.554, 0.672)
O (0.226, 0.946, 0.672)
O (0.241, 0.250, 0.892)
O (0.321, 0.250, 0.352)
O (0.359, 0.750, 0.452)
O (0.641, 0.250, 0.548)
O (0.679, 0.750, 0.648)
O (0.759, 0.750, 0.108)
O (0.774, 0.054, 0.328)
O (0.774, 0.446, 0.328)
O (0.801, 0.045, 0.832)
O (0.801, 0.455, 0.832)
O (0.859, 0.250, 0.054)

crystal system	monoclinic
M_tot	8.0	Bohr magnetons per cell
VASP energy	-7.66	eV per atom

---

(3)
## TiFe5P6O24 (PBE with a Hubbard U)

Data for an optimized crystal structure of TiFe5P6O24.

a b c (Å): 8.488 8.488 8.488
angles (deg): 61.25 61.25 61.25
Fractional positions:
Ti (0.000, 0.000, 0.000)
Fe (0.211, 0.211, 0.211)
Fe (0.356, 0.356, 0.356)
Fe (0.503, 0.503, 0.503)
Fe (0.714, 0.714, 0.714)
Fe (0.856, 0.856, 0.856)
P (0.109, 0.400, 0.810)
P (0.315, 0.904, 0.607)
P (0.400, 0.810, 0.109)
P (0.607, 0.315, 0.904)
P (0.810, 0.109, 0.400)
P (0.904, 0.607, 0.315)
O (0.037, 0.239, 0.863)
O (0.104, 0.446, 0.304)
O (0.113, 0.927, 0.762)
O (0.183, 0.356, 0.962)
O (0.239, 0.863, 0.037)
O (0.267, 0.404, 0.610)
O (0.304, 0.104, 0.446)
O (0.351, 0.748, 0.540)
O (0.356, 0.962, 0.183)
O (0.404, 0.610, 0.267)
O (0.446, 0.304, 0.104)
O (0.468, 0.861, 0.680)
O (0.540, 0.351, 0.748)
O (0.598, 0.792, 0.954)
O (0.610, 0.267, 0.404)
O (0.680, 0.468, 0.861)
O (0.748, 0.540, 0.351)
O (0.762, 0.113, 0.927)
O (0.792, 0.954, 0.598)
O (0.861, 0.680, 0.468)
O (0.863, 0.037, 0.239)
O (0.927, 0.762, 0.113)
O (0.954, 0.598, 0.792)
O (0.962, 0.183, 0.356)

crystal system	trigonal
M_tot	24.0	Bohr magnetons per cell
VASP energy	-7.28	eV per atom

---

(4)
## TiV3Fe2P6O24 (PBE with a Hubbard U)

Data for an optimized crystal structure of TiV3Fe2P6O24.

a b c (Å): 8.547 8.547 8.547
angles (deg): 60.88 60.88 60.88
Fractional positions:
Ti (0.000, 0.000, 0.000)
V (0.287, 0.287, 0.287)
V (0.503, 0.503, 0.503)
V (0.785, 0.785, 0.785)
Fe (0.144, 0.144, 0.144)
Fe (0.645, 0.645, 0.645)
P (0.103, 0.687, 0.394)
P (0.185, 0.601, 0.894)
P (0.394, 0.103, 0.687)
P (0.601, 0.894, 0.185)
P (0.687, 0.394, 0.103)
P (0.894, 0.185, 0.601)
O (0.029, 0.640, 0.828)
O (0.055, 0.202, 0.406)
O (0.085, 0.884, 0.231)
O (0.136, 0.762, 0.962)
O (0.142, 0.529, 0.328)
O (0.202, 0.406, 0.055)
O (0.231, 0.085, 0.884)
O (0.260, 0.651, 0.456)
O (0.328, 0.142, 0.529)
O (0.381, 0.592, 0.735)
O (0.406, 0.055, 0.202)
O (0.456, 0.260, 0.651)
O (0.529, 0.328, 0.142)
O (0.553, 0.906, 0.704)
O (0.592, 0.735, 0.381)
O (0.640, 0.828, 0.029)
O (0.651, 0.456, 0.260)
O (0.704, 0.553, 0.906)
O (0.735, 0.381, 0.592)
O (0.762, 0.962, 0.136)
O (0.828, 0.029, 0.640)
O (0.884, 0.231, 0.085)
O (0.906, 0.704, 0.553)
O (0.962, 0.136, 0.762)

crystal system	trigonal
M_tot	13.0	Bohr magnetons per cell
VASP energy	-7.55	eV per atom

---

(5)
## Ti3VFe2P6O24 (PBE with a Hubbard U)

Data for an optimized crystal structure of Ti3VFe2P6O24.

a b c (Å): 8.571 8.571 8.571
angles (deg): 60.88 60.88 60.88
Fractional positions:
Ti (0.000, 0.000, 0.000)
Ti (0.212, 0.212, 0.212)
Ti (0.503, 0.503, 0.503)
V (0.717, 0.717, 0.717)
Fe (0.356, 0.356, 0.356)
Fe (0.857, 0.857, 0.857)
P (0.111, 0.813, 0.397)
P (0.314, 0.609, 0.902)
P (0.397, 0.111, 0.813)
P (0.609, 0.902, 0.314)
P (0.813, 0.397, 0.111)
P (0.902, 0.314, 0.609)
O (0.043, 0.857, 0.238)
O (0.098, 0.287, 0.447)
O (0.118, 0.769, 0.912)
O (0.189, 0.969, 0.340)
O (0.238, 0.043, 0.857)
O (0.271, 0.617, 0.411)
O (0.287, 0.447, 0.098)
O (0.340, 0.189, 0.969)
O (0.362, 0.544, 0.737)
O (0.411, 0.271, 0.617)
O (0.447, 0.098, 0.287)
O (0.468, 0.668, 0.872)
O (0.544, 0.737, 0.362)
O (0.590, 0.956, 0.808)
O (0.617, 0.411, 0.271)
O (0.668, 0.872, 0.468)
O (0.737, 0.362, 0.544)
O (0.769, 0.912, 0.118)
O (0.808, 0.590, 0.956)
O (0.857, 0.238, 0.043)
O (0.872, 0.468, 0.668)
O (0.912, 0.118, 0.769)
O (0.956, 0.808, 0.590)
O (0.969, 0.340, 0.189)

crystal system	trigonal
M_tot	11.1	Bohr magnetons per cell
VASP energy	-7.74	eV per atom

---

(6)
## VFeP2O8 (PBE with a Hubbard U)

Data for an optimized crystal structure of VFeP2O8.

a b c (Å): 8.521 8.521 8.521
angles (deg): 60.83 60.83 60.83
Fractional positions:
V (0.000, 0.000, 0.000)
V (0.144, 0.144, 0.144)
V (0.645, 0.645, 0.645)
Fe (0.288, 0.288, 0.288)
Fe (0.497, 0.497, 0.497)
Fe (0.791, 0.791, 0.791)
P (0.097, 0.687, 0.393)
P (0.191, 0.601, 0.893)
P (0.393, 0.097, 0.687)
P (0.601, 0.893, 0.191)
P (0.687, 0.393, 0.097)
P (0.893, 0.191, 0.601)
O (0.039, 0.645, 0.818)
O (0.050, 0.206, 0.404)
O (0.077, 0.888, 0.233)
O (0.139, 0.533, 0.324)
O (0.144, 0.760, 0.964)
O (0.206, 0.404, 0.050)
O (0.233, 0.077, 0.888)
O (0.254, 0.652, 0.457)
O (0.324, 0.139, 0.533)
O (0.390, 0.594, 0.734)
O (0.404, 0.050, 0.206)
O (0.457, 0.254, 0.652)
O (0.533, 0.324, 0.139)
O (0.553, 0.897, 0.702)
O (0.594, 0.734, 0.390)
O (0.645, 0.818, 0.039)
O (0.652, 0.457, 0.254)
O (0.702, 0.553, 0.897)
O (0.734, 0.390, 0.594)
O (0.760, 0.964, 0.144)
O (0.818, 0.039, 0.645)
O (0.888, 0.233, 0.077)
O (0.897, 0.702, 0.553)
O (0.964, 0.144, 0.760)

crystal system	trigonal
energy above the most stable polymorph in this dataset	0.0347	eV per atom
M_tot	21.0	Bohr magnetons per cell

---

(7)
## V5FeP6O24 (PBE with a Hubbard U)

Data for an optimized crystal structure of V5FeP6O24.

a b c (Å): 8.554 8.554 8.554
angles (deg): 60.30 60.30 60.30
Fractional positions:
V (0.000, 0.000, 0.000)
V (0.143, 0.143, 0.143)
V (0.286, 0.286, 0.286)
V (0.645, 0.645, 0.645)
V (0.788, 0.788, 0.788)
Fe (0.501, 0.501, 0.501)
P (0.105, 0.394, 0.687)
P (0.188, 0.890, 0.602)
P (0.394, 0.687, 0.105)
P (0.602, 0.188, 0.890)
P (0.687, 0.105, 0.394)
P (0.890, 0.602, 0.188)
O (0.031, 0.821, 0.648)
O (0.051, 0.406, 0.199)
O (0.079, 0.230, 0.887)
O (0.136, 0.338, 0.529)
O (0.144, 0.961, 0.759)
O (0.199, 0.051, 0.406)
O (0.230, 0.887, 0.079)
O (0.265, 0.447, 0.659)
O (0.338, 0.529, 0.136)
O (0.384, 0.728, 0.593)
O (0.406, 0.199, 0.051)
O (0.447, 0.659, 0.265)
O (0.529, 0.136, 0.338)
O (0.559, 0.709, 0.905)
O (0.593, 0.384, 0.728)
O (0.648, 0.031, 0.821)
O (0.659, 0.265, 0.447)
O (0.709, 0.905, 0.559)
O (0.728, 0.593, 0.384)
O (0.759, 0.144, 0.961)
O (0.821, 0.648, 0.031)
O (0.887, 0.079, 0.230)
O (0.905, 0.559, 0.709)
O (0.961, 0.759, 0.144)

crystal system	trigonal
M_tot	11.0	Bohr magnetons per cell
VASP energy	-7.45	eV per atom

---

(8)
## VFeP2O8 (PBE with a Hubbard U)

Data for an optimized crystal structure of VFeP2O8.

a b c (Å): 8.529 8.529 8.529
angles (deg): 60.92 60.92 60.92
Fractional positions:
V (0.000, 0.000, 0.000)
V (0.216, 0.216, 0.216)
V (0.500, 0.500, 0.500)
Fe (0.357, 0.357, 0.357)
Fe (0.714, 0.714, 0.714)
Fe (0.855, 0.855, 0.855)
P (0.109, 0.399, 0.815)
P (0.315, 0.898, 0.611)
P (0.399, 0.815, 0.109)
P (0.611, 0.315, 0.898)
P (0.815, 0.109, 0.399)
P (0.898, 0.611, 0.315)
O (0.048, 0.236, 0.852)
O (0.094, 0.452, 0.298)
O (0.117, 0.911, 0.772)
O (0.177, 0.356, 0.970)
O (0.236, 0.852, 0.048)
O (0.271, 0.414, 0.617)
O (0.298, 0.094, 0.452)
O (0.354, 0.738, 0.545)
O (0.356, 0.970, 0.177)
O (0.414, 0.617, 0.271)
O (0.452, 0.298, 0.094)
O (0.468, 0.856, 0.681)
O (0.545, 0.354, 0.738)
O (0.594, 0.798, 0.949)
O (0.617, 0.271, 0.414)
O (0.681, 0.468, 0.856)
O (0.738, 0.545, 0.354)
O (0.772, 0.117, 0.911)
O (0.798, 0.949, 0.594)
O (0.852, 0.048, 0.236)
O (0.856, 0.681, 0.468)
O (0.911, 0.772, 0.117)
O (0.949, 0.594, 0.798)
O (0.970, 0.177, 0.356)

crystal system	trigonal
energy above the most stable polymorph in this dataset	0.0000	eV per atom
M_tot	17.0	Bohr magnetons per cell

---

(9)
## VFe3P4O16 (PBE with a Hubbard U)

Data for an optimized crystal structure of VFe3P4O16.

a b c (Å): 4.896 5.903 10.012
angles (deg): 90.00 90.23 90.00
Fractional positions:
V (0.000, 0.000, 0.000)
Fe (0.064, 0.500, 0.455)
Fe (0.489, 0.500, 0.955)
Fe (0.565, 0.000, 0.504)
P (0.115, 0.000, 0.328)
P (0.436, 0.000, 0.824)
P (0.616, 0.500, 0.633)
P (0.932, 0.500, 0.132)
O (0.171, 0.000, 0.178)
O (0.239, 0.500, 0.104)
O (0.263, 0.203, 0.401)
O (0.263, 0.797, 0.401)
O (0.287, 0.203, 0.898)
O (0.287, 0.797, 0.898)
O (0.309, 0.500, 0.607)
O (0.374, 0.000, 0.675)
O (0.675, 0.500, 0.783)
O (0.742, 0.000, 0.850)
O (0.764, 0.297, 0.560)
O (0.764, 0.703, 0.560)
O (0.782, 0.297, 0.059)
O (0.782, 0.703, 0.059)
O (0.808, 0.000, 0.353)
O (0.878, 0.500, 0.282)

crystal system	monoclinic
M_tot	17.0	Bohr magnetons per cell
VASP energy	-7.23	eV per atom

---

(10)
## VFe5P6O24 (PBE with a Hubbard U)

Data for an optimized crystal structure of VFe5P6O24.

a b c (Å): 8.475 8.475 8.475
angles (deg): 61.30 61.30 61.30
Fractional positions:
V (0.000, 0.000, 0.000)
Fe (0.143, 0.143, 0.143)
Fe (0.285, 0.285, 0.285)
Fe (0.496, 0.496, 0.496)
Fe (0.643, 0.643, 0.643)
Fe (0.789, 0.789, 0.789)
P (0.095, 0.684, 0.392)
P (0.189, 0.601, 0.891)
P (0.392, 0.095, 0.684)
P (0.601, 0.891, 0.189)
P (0.684, 0.392, 0.095)
P (0.891, 0.189, 0.601)
O (0.037, 0.646, 0.815)
O (0.046, 0.205, 0.403)
O (0.074, 0.886, 0.235)
O (0.136, 0.530, 0.321)
O (0.143, 0.760, 0.963)
O (0.205, 0.403, 0.046)
O (0.235, 0.074, 0.886)
O (0.252, 0.649, 0.457)
O (0.321, 0.136, 0.530)
O (0.390, 0.594, 0.732)
O (0.403, 0.046, 0.205)
O (0.457, 0.252, 0.649)
O (0.530, 0.321, 0.136)
O (0.552, 0.894, 0.698)
O (0.594, 0.732, 0.390)
O (0.646, 0.815, 0.037)
O (0.649, 0.457, 0.252)
O (0.698, 0.552, 0.894)
O (0.732, 0.390, 0.594)
O (0.760, 0.963, 0.143)
O (0.815, 0.037, 0.646)
O (0.886, 0.235, 0.074)
O (0.894, 0.698, 0.552)
O (0.963, 0.143, 0.760)

crystal system	trigonal
M_tot	25.1	Bohr magnetons per cell
VASP energy	-7.18	eV per atom

---

(11)
## VFeP4O14 (PBE with a Hubbard U)

Data for an optimized crystal structure of VFeP4O14.

a b c (Å): 4.885 6.984 8.122
angles (deg): 89.49 89.19 74.65
Fractional positions:
V (0.000, 0.000, 0.000)
Fe (0.570, 0.461, 0.502)
P (0.037, 0.618, 0.262)
P (0.168, 0.225, 0.682)
P (0.399, 0.233, 0.189)
P (0.547, 0.839, 0.765)
O (0.059, 0.199, 0.862)
O (0.204, 0.093, 0.168)
O (0.222, 0.452, 0.135)
O (0.222, 0.647, 0.402)
O (0.343, 0.829, 0.912)
O (0.344, 0.373, 0.683)
O (0.374, 0.006, 0.642)
O (0.494, 0.237, 0.364)
O (0.643, 0.652, 0.668)
O (0.649, 0.176, 0.064)
O (0.773, 0.558, 0.311)
O (0.803, 0.905, 0.830)
O (0.928, 0.259, 0.562)
O (0.959, 0.803, 0.146)

crystal system	triclinic
M_tot	5.0	Bohr magnetons per cell
VASP energy	-7.22	eV per atom